[1]
First-principles (GGA-PBE) data for a relaxed CoPdPt6 crystal, as listed in Alexandria via LeMat-Bulk.

Results
The spin magnetization comes out at 3.6 μB/f.u. As for the symmetry: P4/mmm. The calculation puts the formation enthalpy at 0 K at -0.064 eV per atom. As for the mass density: 18.345 g/cm3. The crystal system is tetragonal.

Cell: 3.918 3.918 7.876 Å, 90.00 90.00 90.00°
Positions (direct):
Co  0.000  0.000  0.500
Pd  0.000  0.000  0.000
Pt  0.500  0.500  0.000
Pt  0.500  0.500  0.500
Pt  0.500  0.000  0.258
Pt  0.500  0.000  0.742
Pt  0.000  0.500  0.258
Pt  0.000  0.500  0.742

[2]
First-principles (GGA-PBE) data for a relaxed Co3PdPt crystal, as listed in Alexandria via LeMat-Bulk.

Results
As for the relative energy among the computed polymorphs: 6 meV per atom. The spin magnetization comes out at 6.1 μB/f.u. As for the symmetry: P2_1/m. The calculation puts the formation enthalpy at 0 K at 0.067 eV per atom. As for the mass density: 11.869 g/cm3. The crystal system is monoclinic.

Cell: 4.207 5.247 6.420 Å, 90.00 109.19 90.00°
Positions (direct):
Co  0.692  0.000  0.384
Co  0.308  0.000  0.616
Co  0.308  0.500  0.616
Co  0.692  0.500  0.384
Co  0.136  0.750  0.270
Co  0.864  0.250  0.730
Pd  0.509  0.750  0.015
Pd  0.491  0.250  0.985
Pt  0.873  0.750  0.745
Pt  0.127  0.250  0.255

[3]
First-principles (GGA-PBE) data for a relaxed CoPd4Pt2 crystal, as listed in Alexandria via LeMat-Bulk.

Results
As for the relative energy among the computed polymorphs: 240 meV per atom. The spin magnetization comes out at 3.0 μB/f.u. As for the symmetry: I-42d. The calculation puts the formation enthalpy at 0 K at 0.279 eV per atom. As for the mass density: 12.961 g/cm3. The crystal system is tetragonal.

Cell: 6.628 6.628 6.628 Å, 109.58 109.26 109.58°
Positions (direct):
Co  0.000  0.000  0.000
Co  0.750  0.500  0.250
Pd  0.105  0.898  0.361
Pd  0.639  0.744  0.537
Pd  0.957  0.602  0.713
Pd  0.287  0.244  0.889
Pd  0.645  0.756  0.043
Pd  0.793  0.256  0.895
Pd  0.463  0.102  0.207
Pd  0.111  0.398  0.355
Pt  0.875  0.135  0.510
Pt  0.490  0.365  0.625
Pt  0.375  0.865  0.740
Pt  0.260  0.635  0.125

[4]
First-principles (GGA-PBE) data for a relaxed CoPd6Pt crystal, as listed in Alexandria via LeMat-Bulk.

Results
As for the relative energy among the computed polymorphs: 156 meV per atom. The spin magnetization comes out at 3.6 μB/f.u. As for the symmetry: P-1. The calculation puts the formation enthalpy at 0 K at 0.161 eV per atom. As for the mass density: 11.964 g/cm3. The crystal system is triclinic.

Cell: 7.023 7.022 5.002 Å, 45.02 45.24 60.92°
Positions (direct):
Co  0.500  0.500  0.500
Pd  0.035  0.508  0.709
Pd  0.749  0.968  0.770
Pd  0.514  0.251  0.275
Pd  0.251  0.032  0.230
Pd  0.965  0.492  0.291
Pd  0.486  0.749  0.725
Pt  0.000  0.000  0.000